## Tb2SeS (PBE)

Data for crystalline Tb2SeS at its relaxed geometry.

For the density, the calculation gives 7.75 Mg/m³. As for the crystal system: trigonal. The calculation puts the total DFT energy (no corrections) at -0.450 Ry per atom. The total moment comes out at 0.00 μB per formula unit.

It has space group R3m (No. 160, hexagonal axes), with a = 3.9185 Å, b = 3.9185 Å, c = 20.7438 Å, α = 90.00°, β = 90.00° and γ = 120.00°. The asymmetric unit holds Tb at (0.0000, 0.0000, 0.0000), Tb at (0.0000, 0.0000, 0.1847), Se at (0.0000, 0.0000, 0.4248) and S at (0.0000, 0.0000, 0.5942).



## Tb2SeS3 (PBE)

Data for crystalline Tb2SeS3 at its relaxed geometry.

For the density, the calculation gives 2.74 Mg/m³. The value obtained for the relative energy among the computed polymorphs is 0.062 eV per atom. As for the crystal system: monoclinic. The calculation puts the total DFT energy (no corrections) at -0.398 Ry per atom. The total moment comes out at 0.00 μB per formula unit.

It has space group Pm (No. 6), with a = 7.129 Å, b = 4.114 Å, c = 10.788 Å, α = 90.00°, β = 109.27° and γ = 90.00°. The asymmetric unit holds Tb at (0.000, 0.000, 0.000), Tb at (0.493, 0.500, 0.001), Se at (0.908, 0.500, 0.157), S at (0.261, 0.000, 0.861), S at (0.400, 0.000, 0.139) and S at (0.765, 0.500, 0.871).



## Tb4Se3S4 (PBE)

Data for crystalline Tb4Se3S4 at its relaxed geometry.

For the density, the calculation gives 6.01 Mg/m³. As for the crystal system: orthorhombic. The calculation puts the total DFT energy (no corrections) at -0.432 Ry per atom. The total moment comes out at 0.02 μB per formula unit.

It has space group Amm2 (No. 38), with a = 10.013 Å, b = 4.158 Å, c = 13.290 Å, α = 90.00°, β = 90.00° and γ = 90.00°. The asymmetric unit holds Tb at (0.000, 0.000, 0.000), Tb at (0.241, 0.000, 0.289), Tb at (0.500, 0.000, 0.990), Se at (0.000, 0.000, 0.658), Se at (0.377, 0.000, 0.640), S at (0.000, 0.000, 0.372), S at (0.248, 0.000, 0.920) and S at (0.500, 0.000, 0.357).



## Tc2SeS3 (PBE)

Data for crystalline Tc2SeS3 at its relaxed geometry.

For the density, the calculation gives 3.37 Mg/m³. As for the crystal system: monoclinic. The calculation puts the total DFT energy (no corrections) at -0.481 Ry per atom. The total moment comes out at 0.00 μB per formula unit.

It has space group Cm (No. 8), with a = 19.868 Å, b = 3.064 Å, c = 6.004 Å, α = 90.00°, β = 90.29° and γ = 90.00°. The asymmetric unit holds Tc at (0.000, 0.000, 0.000), Tc at (0.001, 0.500, 0.433), Se at (0.423, 0.500, 0.653), S at (0.067, 0.000, 0.653), S at (0.080, 0.500, 0.140) and S at (0.421, 0.000, 0.140).



## TcSeS (PBE)

Data for crystalline TcSeS at its relaxed geometry.

For the density, the calculation gives 5.55 Mg/m³. The value obtained for the relative energy among the computed polymorphs is 0.110 eV per atom. As for the crystal system: orthorhombic. The calculation puts the total DFT energy (no corrections) at -0.475 Ry per atom. The total moment comes out at 0.04 μB per formula unit.

It has space group Pmn2_1 (No. 31), with a = 3.172 Å, b = 5.867 Å, c = 13.444 Å, α = 90.00°, β = 90.00° and γ = 90.00°. The asymmetric unit holds Tc at (0.000, 0.020, 0.000), Tc at (0.000, 0.582, 0.494), Se at (0.000, 0.291, 0.860), Se at (0.000, 0.649, 0.106), S at (0.000, 0.210, 0.407) and S at (0.000, 0.849, 0.620).



## TcSeS (PBE)

Data for crystalline TcSeS at its relaxed geometry.

For the density, the calculation gives 5.55 Mg/m³. The value obtained for the relative energy among the computed polymorphs is 0.000 eV per atom. As for the crystal system: triclinic. The calculation puts the total DFT energy (no corrections) at -0.483 Ry per atom. The total moment comes out at 0.00 μB per formula unit.

It has space group P-1 (No. 2), with a = 6.520 Å, b = 6.695 Å, c = 6.845 Å, α = 91.83°, β = 104.52° and γ = 118.48°. The asymmetric unit holds Tc at (0.010, 0.206, 0.003), Tc at (0.436, 0.181, 0.009), Se at (0.253, 0.632, 0.199), Se at (0.274, 0.391, 0.780), S at (0.232, 0.850, 0.764) and S at (0.240, 0.111, 0.264).



## TcSeS (PBE)

Data for crystalline TcSeS at its relaxed geometry.

For the density, the calculation gives 5.34 Mg/m³. The value obtained for the relative energy among the computed polymorphs is 0.106 eV per atom. As for the crystal system: monoclinic. The calculation puts the total DFT energy (no corrections) at -0.475 Ry per atom. The total moment comes out at 0.06 μB per formula unit.

It has space group Cm (No. 8), with a = 14.167 Å, b = 3.170 Å, c = 5.870 Å, α = 90.00°, β = 99.58° and γ = 90.00°. The asymmetric unit holds Tc at (0.000, 0.000, 0.000), Tc at (0.005, 0.500, 0.400), Se at (0.108, 0.500, 0.812), Se at (0.371, 0.000, 0.074), S at (0.121, 0.000, 0.317) and S at (0.416, 0.500, 0.594).



## Tc2SeS3 (PBE)

Data for crystalline Tc2SeS3 at its relaxed geometry.

For the density, the calculation gives 3.16 Mg/m³. As for the crystal system: monoclinic. The calculation puts the total DFT energy (no corrections) at -0.481 Ry per atom. The total moment comes out at 0.00 μB per formula unit.

It has space group Pm (No. 6), with a = 6.016 Å, b = 3.073 Å, c = 10.964 Å, α = 90.00°, β = 105.61° and γ = 90.00°. The asymmetric unit holds Tc at (0.000, 0.000, 0.000), Tc at (0.434, 0.500, 0.998), Se at (0.726, 0.000, 0.145), S at (0.066, 0.500, 0.850), S at (0.215, 0.500, 0.148) and S at (0.590, 0.000, 0.874).



What is the total DFT energy (no corrections) in the eighth record? -0.481 Ry per atom